Compound: AcTbMgZn
Source: Alexandria via LeMat-Bulk
Functional: PBE-GGA
Structure: relaxed

The structure in extended XYZ format:
```
4
Lattice="3.793 0.000 0.000 0.000 3.793 0.000 0.000 0.000 7.949" Properties=species:S:1:pos:R:3 pbc="T T T"
Ac 0.000 0.000 0.000
Tb 0.000 0.000 3.637
Mg 1.897 1.897 5.572
Zn 1.897 1.897 2.154
```

Properties
energy above the most stable polymorph in this dataset: 0.00 eV per formula unit
N(E_F): 1.22 states/eV/atom
size of the total moment: 0.00 μB/f.u.
theoretical density: 6.91 Mg/m³